Entry a
## Ca2CuTc (PBE-GGA)

Data for crystalline Ca2CuTc at its relaxed geometry.

## Properties
Space-group type   P4/mmm
Spin magnetization   1.493 μB per cell

a b c (Å): 3.2958 3.2958 8.0404
angles (deg): 90.00 90.00 90.00
Fractional coordinates of all 4 atoms:
Ca: 0.0000 0.0000 0.2492
Ca: 0.0000 0.0000 0.7508
Cu: 0.5000 0.5000 0.0000
Tc: 0.5000 0.5000 0.5000

Entry b
## Ca2CuTc (PBE-GGA)

Data for crystalline Ca2CuTc at its relaxed geometry.

## Properties
Space-group type   R-3m
Spin magnetization   3.289 μB per cell

a b c (Å): 3.3497 3.3497 27.4368
angles (deg): 90.00 90.00 120.00
Fractional coordinates of all 12 atoms:
Ca: 0.0000 0.0000 0.2492
Ca: 0.0000 0.0000 0.7508
Ca: 0.3333 0.6667 0.4175
Ca: 0.3333 0.6667 0.9158
Ca: 0.6667 0.3333 0.0842
Ca: 0.6667 0.3333 0.5825
Cu: 0.0000 0.0000 0.0000
Cu: 0.3333 0.6667 0.6667
Cu: 0.6667 0.3333 0.3333
Tc: 0.0000 0.0000 0.5000
Tc: 0.3333 0.6667 0.1667
Tc: 0.6667 0.3333 0.8333

Question: which arrangement is favored energetically? Ranking from most to least stable: entry a, entry b.

Entry a
## Ca2CuTc (PBE-GGA)

Data for crystalline Ca2CuTc at its relaxed geometry.

## Properties
Space-group type   I-42d
Spin magnetization   7.447 μB per cell

a b c (Å): 7.8072 7.8072 5.9222
angles (deg): 90.00 90.00 90.00
Fractional coordinates of all 16 atoms:
Ca: 0.2315 0.2500 0.1250
Ca: 0.2500 0.7315 0.3750
Ca: 0.2500 0.7685 0.8750
Ca: 0.2685 0.2500 0.6250
Ca: 0.7315 0.7500 0.6250
Ca: 0.7500 0.2315 0.8750
Ca: 0.7500 0.2685 0.3750
Ca: 0.7685 0.7500 0.1250
Cu: 0.0000 0.0000 0.0000
Cu: 0.0000 0.5000 0.2500
Cu: 0.5000 0.0000 0.7500
Cu: 0.5000 0.5000 0.5000
Tc: 0.0000 0.0000 0.5000
Tc: 0.0000 0.5000 0.7500
Tc: 0.5000 0.0000 0.2500
Tc: 0.5000 0.5000 0.0000

Entry b
## Ca2CuTc (PBE-GGA)

Data for crystalline Ca2CuTc at its relaxed geometry.

## Properties
Space-group type   Fm-3m
Spin magnetization   7.600 μB per cell

a b c (Å): 7.0929 7.0929 7.0929
angles (deg): 90.00 90.00 90.00
Fractional coordinates of all 16 atoms:
Ca: 0.2500 0.2500 0.2500
Ca: 0.2500 0.2500 0.7500
Ca: 0.2500 0.7500 0.2500
Ca: 0.2500 0.7500 0.7500
Ca: 0.7500 0.2500 0.2500
Ca: 0.7500 0.2500 0.7500
Ca: 0.7500 0.7500 0.2500
Ca: 0.7500 0.7500 0.7500
Cu: 0.0000 0.0000 0.0000
Cu: 0.0000 0.5000 0.5000
Cu: 0.5000 0.0000 0.5000
Cu: 0.5000 0.5000 0.0000
Tc: 0.0000 0.0000 0.5000
Tc: 0.0000 0.5000 0.0000
Tc: 0.5000 0.0000 0.0000
Tc: 0.5000 0.5000 0.5000

Question: which arrangement is favored energetically? Ranking from most to least stable: entry b, entry a.

Entry a
## Ca2CuTc (PBE-GGA)

Data for crystalline Ca2CuTc at its relaxed geometry.

## Properties
Space-group type   Imm2
Spin magnetization   1.707 μB per cell

a b c (Å): 3.3038 4.9793 10.7063
angles (deg): 90.00 90.00 90.00
Fractional coordinates of all 8 atoms:
Ca: 0.0000 0.0000 0.0000
Ca: 0.0000 0.5000 0.2092
Ca: 0.5000 0.0000 0.7092
Ca: 0.5000 0.5000 0.5000
Cu: 0.0000 0.5000 0.7578
Cu: 0.5000 0.0000 0.2578
Tc: 0.0000 0.0000 0.4345
Tc: 0.5000 0.5000 0.9345

Entry b
## Ca2CuTc (PBE-GGA)

Data for crystalline Ca2CuTc at its relaxed geometry.

## Properties
Space-group type   Amm2
Spin magnetization   2.056 μB per cell

a b c (Å): 4.1845 4.3487 10.6478
angles (deg): 90.00 90.00 90.00
Fractional coordinates of all 8 atoms:
Ca: 0.0000 0.0000 0.0000
Ca: 0.0000 0.5000 0.5000
Ca: 0.5000 0.0000 0.2907
Ca: 0.5000 0.5000 0.7907
Cu: 0.0000 0.0000 0.7022
Cu: 0.0000 0.5000 0.2022
Tc: 0.5000 0.0000 0.5914
Tc: 0.5000 0.5000 0.0914

Question: which arrangement is favored energetically? Ranking from most to least stable: entry b, entry a.

Entry a
## CaCu2Tc (PBE-GGA)

Data for crystalline CaCu2Tc at its relaxed geometry.

## Properties
Space-group type   P4mm
Spin magnetization   0.000 μB per cell

a b c (Å): 2.8528 2.8528 7.8986
angles (deg): 90.00 90.00 90.00
Fractional coordinates of all 4 atoms:
Ca: 0.0000 0.0000 0.0000
Cu: 0.0000 0.0000 0.4794
Cu: 0.5000 0.5000 0.2905
Tc: 0.5000 0.5000 0.6950

Entry b
## CaCu2Tc (PBE-GGA)

Data for crystalline CaCu2Tc at its relaxed geometry.

## Properties
Space-group type   F-43m
Spin magnetization   9.086 μB per cell

a b c (Å): 6.4249 6.4249 6.4249
angles (deg): 90.00 90.00 90.00
Fractional coordinates of all 16 atoms:
Ca: 0.0000 0.0000 0.0000
Ca: 0.0000 0.5000 0.5000
Ca: 0.5000 0.0000 0.5000
Ca: 0.5000 0.5000 0.0000
Cu: 0.0000 0.0000 0.5000
Cu: 0.0000 0.5000 0.0000
Cu: 0.2500 0.2500 0.7500
Cu: 0.2500 0.7500 0.2500
Cu: 0.5000 0.0000 0.0000
Cu: 0.5000 0.5000 0.5000
Cu: 0.7500 0.2500 0.2500
Cu: 0.7500 0.7500 0.7500
Tc: 0.2500 0.2500 0.2500
Tc: 0.2500 0.7500 0.7500
Tc: 0.7500 0.2500 0.7500
Tc: 0.7500 0.7500 0.2500

Entry c
## CaCu2Tc (PBE-GGA)

Data for crystalline CaCu2Tc at its relaxed geometry.

## Properties
Space-group type   R-3m
Spin magnetization   1.208 μB per cell

a b c (Å): 2.8558 2.8558 27.6081
angles (deg): 90.00 90.00 120.00
Fractional coordinates of all 12 atoms:
Ca: 0.0000 0.0000 0.0000
Ca: 0.3333 0.6667 0.6667
Ca: 0.6667 0.3333 0.3333
Cu: 0.0000 0.0000 0.2426
Cu: 0.0000 0.0000 0.7574
Cu: 0.3333 0.6667 0.4241
Cu: 0.3333 0.6667 0.9092
Cu: 0.6667 0.3333 0.0908
Cu: 0.6667 0.3333 0.5759
Tc: 0.0000 0.0000 0.5000
Tc: 0.3333 0.6667 0.1667
Tc: 0.6667 0.3333 0.8333

Question: which arrangement is favored energetically? Ranking from most to least stable: entry a, entry b, entry c.

Entry a
## CaCu2Tc (PBE-GGA)

Data for crystalline CaCu2Tc at its relaxed geometry.

## Properties
Space-group type   I-42d
Spin magnetization   9.305 μB per cell

a b c (Å): 4.5542 4.5542 17.1400
angles (deg): 90.00 90.00 90.00
Fractional coordinates of all 16 atoms:
Ca: 0.0000 0.0000 0.0000
Ca: 0.0000 0.5000 0.2500
Ca: 0.5000 0.0000 0.7500
Ca: 0.5000 0.5000 0.5000
Cu: 0.0770 0.2500 0.6250
Cu: 0.2500 0.5770 0.8750
Cu: 0.2500 0.9230 0.3750
Cu: 0.4230 0.2500 0.1250
Cu: 0.5770 0.7500 0.1250
Cu: 0.7500 0.0770 0.3750
Cu: 0.7500 0.4230 0.8750
Cu: 0.9230 0.7500 0.6250
Tc: 0.0000 0.0000 0.5000
Tc: 0.0000 0.5000 0.7500
Tc: 0.5000 0.0000 0.2500
Tc: 0.5000 0.5000 0.0000

Entry b
## CaCu2Tc (PBE-GGA)

Data for crystalline CaCu2Tc at its relaxed geometry.

## Properties
Space-group type   C2/m
Spin magnetization   0.000 μB per cell

a b c (Å): 8.9770 2.6956 5.6875
angles (deg): 90.00 96.82 90.00
Fractional coordinates of all 8 atoms:
Ca: 0.0000 0.0000 0.0000
Ca: 0.5000 0.5000 0.0000
Cu: 0.2393 0.0000 0.6815
Cu: 0.2607 0.5000 0.3185
Cu: 0.7393 0.5000 0.6815
Cu: 0.7607 0.0000 0.3185
Tc: 0.0000 0.5000 0.5000
Tc: 0.5000 0.0000 0.5000

Entry c
## CaCu2Tc (PBE-GGA)

Data for crystalline CaCu2Tc at its relaxed geometry.

## Properties
Space-group type   Pmm2
Spin magnetization   0.000 μB per cell

a b c (Å): 2.8437 4.5947 4.8526
angles (deg): 90.00 90.00 90.00
Fractional coordinates of all 4 atoms:
Ca: 0.0000 0.0000 0.0000
Cu: 0.5000 0.0000 0.4993
Cu: 0.5000 0.5000 0.8665
Tc: 0.0000 0.5000 0.4114

Question: which arrangement is favored energetically? Ranking from most to least stable: entry c, entry b, entry a.

Entry a
## CaCu2Tc (PBE-GGA)

Data for crystalline CaCu2Tc at its relaxed geometry.

## Properties
Space-group type   I-4m2
Spin magnetization   1.747 μB per cell

a b c (Å): 3.8737 3.8737 8.6956
angles (deg): 90.00 90.00 90.00
Fractional coordinates of all 8 atoms:
Ca: 0.0000 0.0000 0.0000
Ca: 0.5000 0.5000 0.5000
Cu: 0.0000 0.0000 0.5000
Cu: 0.0000 0.5000 0.7500
Cu: 0.5000 0.0000 0.2500
Cu: 0.5000 0.5000 0.0000
Tc: 0.0000 0.5000 0.2500
Tc: 0.5000 0.0000 0.7500

Entry b
## CaCu2Tc (PBE-GGA)

Data for crystalline CaCu2Tc at its relaxed geometry.

## Properties
Space-group type   Imm2
Spin magnetization   0.000 μB per cell

a b c (Å): 2.7493 4.8296 9.6958
angles (deg): 90.00 90.00 90.00
Fractional coordinates of all 8 atoms:
Ca: 0.0000 0.0000 0.0000
Ca: 0.5000 0.5000 0.5000
Cu: 0.0000 0.0000 0.4817
Cu: 0.0000 0.5000 0.7684
Cu: 0.5000 0.0000 0.2684
Cu: 0.5000 0.5000 0.9817
Tc: 0.0000 0.5000 0.2145
Tc: 0.5000 0.0000 0.7145

Question: which arrangement is favored energetically? Ranking from most to least stable: entry b, entry a.